BaNi | PBE | relaxed

The structure in extended XYZ format:
```
4
Lattice="-5.474 1.913 -2.937 -2.196 -2.721 -5.479 2.216 -1.659 5.881" Properties=species:S:1:pos:R:3 pbc="T T T"
Ba 0.000 0.000 0.000
Ba -1.907 -2.392 -1.903
Ni -3.835 -0.404 -4.208
Ni -3.546 -0.075 -0.632
```

Output
Calculated total energy: -13.81 eV per cell
Formation energy from the elements: 0.400 eV per atom
Calculated density: 5.90 g/cm3

***

Rb3Zr3FeSe8 | PBE | relaxed

The structure in extended XYZ format:
```
15
Lattice="7.789 0.000 0.000 -3.894 6.748 -0.030 0.000 -4.463 8.225" Properties=species:S:1:pos:R:3 pbc="T T T"
Rb 0.000 0.000 0.000
Rb -1.947 3.374 -0.015
Rb 1.947 3.374 -0.015
Zr 3.894 -2.232 4.112
Zr 1.947 1.142 4.097
Zr -1.947 1.142 4.097
Fe 0.000 -2.232 4.112
Se 0.000 2.260 2.502
Se 3.894 0.024 5.692
Se 3.894 2.278 2.573
Se 0.000 0.007 5.621
Se 5.858 -1.124 2.591
Se -1.963 3.408 5.603
Se 1.931 -1.124 2.591
Se 1.963 3.408 5.603
```

Output
Calculated total energy: -82.12 eV per cell
Raw formation energy: -1148.7 meV/atom
Calculated density: 4.69 g/cm3

***

Fe2TcRh | PBE | relaxed

The structure in extended XYZ format:
```
8
Lattice="6.643 0.000 0.000 0.000 6.643 0.000 3.322 3.322 2.565" Properties=species:S:1:pos:R:3 pbc="T T T"
Rh 0.000 0.000 0.000
Rh 6.643 3.322 1.283
Tc 3.322 3.322 0.000
Tc 3.322 6.643 1.283
Fe 4.930 1.661 0.641
Fe 1.713 4.983 0.641
Fe 4.983 5.035 1.924
Fe 8.304 8.252 1.924
```

Output
Calculated total energy: -64.20 eV per cell
ΔE to the lowest computed polymorph: 618 meV per atom
Formation energy from the elements: 0.635 eV per atom
Calculated density: 9.17 g/cm3

***

NaGa2NiCl8 | PBE | relaxed

The structure in extended XYZ format:
```
12
Lattice="6.467 0.000 0.000 -3.234 5.601 0.000 0.000 0.000 8.713" Properties=species:S:1:pos:R:3 pbc="T T T"
Na 0.000 0.000 0.000
Ga 3.234 1.867 2.188
Ga 0.000 3.734 6.524
Ni 0.000 0.000 4.356
Cl 0.000 3.734 0.010
Cl 1.116 1.625 2.844
Cl 4.502 0.154 2.844
Cl 3.234 1.867 8.703
Cl -1.269 5.447 5.869
Cl 2.118 3.976 5.869
Cl -0.849 1.779 5.869
Cl 4.083 3.822 2.844
```

Output
Calculated total energy: -40.01 eV per cell
Raw formation energy: -1007.3 meV/atom
Calculated density: 2.66 g/cm3

***

BaPr2Dy | PBE | relaxed

The structure in extended XYZ format:
```
4
Lattice="3.700 0.000 0.000 1.850 3.204 0.000 1.850 1.068 13.208" Properties=species:S:1:pos:R:3 pbc="T T T"
Pr 1.850 1.068 9.491
Pr 5.550 3.204 3.717
Ba 0.000 0.000 0.000
Dy 3.700 2.136 6.604
```

Output
Calculated total energy: -15.34 eV per cell
ΔE to the lowest computed polymorph: 82 meV per atom
Formation energy from the elements: 0.187 eV per atom
Calculated density: 6.17 g/cm3

***

Ca2PrSi3Pt4 | PBE | relaxed

The structure in extended XYZ format:
```
10
Lattice="-2.550 -1.614 -3.102 0.551 -3.976 1.617 -8.651 1.397 6.383" Properties=species:S:1:pos:R:3 pbc="T T T"
Ca -3.217 -0.493 -0.118
Ca -6.433 -0.905 5.758
Pr -5.325 -2.097 2.449
Si -4.326 0.699 3.192
Si -8.967 0.435 4.125
Si -0.684 -1.833 1.516
Pt -0.999 -2.795 -0.743
Pt 0.000 0.000 0.000
Pt -7.103 0.134 2.749
Pt -2.548 -1.532 2.891
```

Output
Calculated total energy: -58.17 eV per cell
Raw formation energy: -895.2 meV/atom
Calculated density: 8.88 g/cm3

***

AcPrLuGa | PBE | relaxed

The structure in extended XYZ format:
```
4
Lattice="5.527 0.000 0.000 2.763 4.786 0.000 2.763 1.595 4.512" Properties=species:S:1:pos:R:3 pbc="T T T"
Pr 5.527 3.191 2.256
Ac 8.290 4.786 3.384
Lu 0.000 0.000 0.000
Ga 2.763 1.595 1.128
```

Output
Calculated total energy: -16.21 eV per cell
Formation energy from the elements: 0.055 eV per atom
Calculated density: 8.52 g/cm3

***

ZnReP2 | PBE | relaxed

The structure in extended XYZ format:
```
4
Lattice="6.591 1.187 -0.257 4.434 5.019 0.257 -5.310 -3.464 2.175" Properties=species:S:1:pos:R:3 pbc="T T T"
P 10.593 5.962 0.000
P 2.770 0.060 0.959
Re 6.010 3.383 0.000
Zn 2.881 2.646 1.216
```

Output
Calculated total energy: -24.43 eV per cell
Formation energy from the elements: 0.029 eV per atom
Calculated density: 8.42 g/cm3

***

La2ZnInOs | PBE | relaxed

The structure in extended XYZ format:
```
5
Lattice="5.470 0.000 0.000 0.000 5.470 0.000 0.000 0.000 4.988" Properties=species:S:1:pos:R:3 pbc="T T T"
Zn 0.000 0.000 2.494
In 2.735 2.735 2.494
Os 0.000 0.000 0.000
La 0.000 2.735 0.000
La 2.735 0.000 0.000
```

Output
Calculated total energy: -25.65 eV per cell
Formation energy from the elements: -0.110 eV per atom
Calculated density: 7.21 g/cm3

***

RbPaGeO6 | PBE | relaxed

The structure in extended XYZ format:
```
9
Lattice="5.450 0.000 0.000 2.725 4.719 0.000 0.000 0.000 6.390" Properties=species:S:1:pos:R:3 pbc="T T T"
Rb 8.174 4.720 0.000
Pa 5.450 3.146 3.195
Ge 2.725 1.573 3.195
O 1.161 1.729 2.083
O 2.078 0.140 4.308
O 4.289 1.729 4.308
O 1.808 2.850 4.307
O 3.642 2.850 2.083
O 3.372 0.140 2.083
```

Output
Calculated total energy: -62.42 eV per cell
Raw formation energy: -1953.9 meV/atom
Calculated density: 4.90 g/cm3

***

SrAg2Se2 | PBE | relaxed

The structure in extended XYZ format:
```
5
Lattice="5.251 0.000 0.000 0.000 5.251 0.000 2.625 2.625 4.571" Properties=species:S:1:pos:R:3 pbc="T T T"
Sr 0.000 0.000 0.000
Se 5.251 2.625 2.286
Se 2.625 5.251 2.286
Ag 2.625 2.625 1.393
Ag 5.251 5.251 3.178
```

Output
Calculated total energy: -17.31 eV per cell
Raw formation energy: -591.6 meV/atom
Calculated density: 6.08 g/cm3

***

LaTc3 | PBE | relaxed

The structure in extended XYZ format:
```
4
Lattice="-1.265 2.280 1.216 -0.857 -6.387 7.678 1.597 2.004 1.307" Properties=species:S:1:pos:R:3 pbc="T T T"
La 0.000 0.000 0.000
Tc -0.531 -3.531 6.064
Tc -0.263 -1.052 5.100
Tc 0.006 1.427 4.137
```

Output
Calculated total energy: -34.05 eV per cell
Formation energy from the elements: 0.493 eV per atom
Calculated density: 10.15 g/cm3

***

NaLaI2Cl | PBE | relaxed

The structure in extended XYZ format:
```
5
Lattice="5.526 0.000 0.000 0.000 6.416 0.000 0.000 0.000 5.526" Properties=species:S:1:pos:R:3 pbc="T T T"
I 0.000 0.000 2.763
I 2.763 0.000 0.000
Na 0.000 0.000 0.000
Cl 2.763 3.208 2.763
La 0.000 3.208 0.000
```

Output
Calculated total energy: -13.64 eV per cell
Raw formation energy: -490.2 meV/atom
Calculated density: 3.82 g/cm3

***

KCuPt3 | PBE | relaxed

The structure in extended XYZ format:
```
5
Lattice="4.930 0.000 0.000 0.000 4.930 0.000 0.000 0.000 4.930" Properties=species:S:1:pos:R:3 pbc="T T T"
K 0.000 0.000 0.000
Cu 2.465 2.465 2.465
Pt 0.000 2.465 0.000
Pt 0.000 0.000 2.465
Pt 2.465 0.000 0.000
```

Output
Calculated total energy: -12.15 eV per cell
ΔE to the lowest computed polymorph: 1610 meV per atom
Formation energy from the elements: 2.233 eV per atom
Calculated density: 9.53 g/cm3

***

Dy3Cu2Ir7 | PBE | relaxed

The structure in extended XYZ format:
```
12
Lattice="5.086 0.000 1.592 2.294 4.540 1.592 -0.023 -0.014 8.995" Properties=species:S:1:pos:R:3 pbc="T T T"
Dy 0.000 0.000 0.000
Dy 6.331 3.894 6.536
Dy 1.026 0.631 5.644
Cu 4.913 3.022 2.145
Cu 2.444 1.503 10.034
Ir 3.679 2.263 6.090
Ir 5.640 1.882 4.348
Ir 4.224 4.185 4.348
Ir 3.060 1.882 3.540
Ir 1.717 2.643 7.832
Ir 4.297 2.643 8.639
Ir 3.133 0.340 7.832
```

Output
Calculated total energy: -91.07 eV per cell
Formation energy from the elements: -0.587 eV per atom
Calculated density: 15.65 g/cm3

***

Pr2DyY6Ho3 | PBE | relaxed

The structure in extended XYZ format:
```
12
Lattice="-2.092 5.532 1.873 -1.695 -2.243 -5.530 -7.980 -6.252 6.137" Properties=species:S:1:pos:R:3 pbc="T T T"
Pr -1.827 0.349 -3.062
Pr -1.960 2.940 -0.595
Dy 0.000 0.000 0.000
Y -8.862 -0.912 3.074
Y -4.872 0.889 -1.195
Y -2.905 -2.051 -0.594
Y -8.730 -3.497 0.612
Y -6.895 -3.852 3.676
Y -3.037 0.535 1.868
Ho -5.751 -4.075 -1.229
Ho -6.016 1.112 3.710
Ho -5.884 -1.481 1.240
```

Output
Calculated total energy: -66.44 eV per cell
Formation energy from the elements: 0.020 eV per atom
Calculated density: 6.28 g/cm3

***

CrNi2Pt | PBE | relaxed

The structure in extended XYZ format:
```
4
Lattice="8.462 -0.012 -0.007 8.055 2.590 -0.007 8.055 1.258 2.265" Properties=species:S:1:pos:R:3 pbc="T T T"
Cr 18.429 2.877 1.688
Ni 0.132 0.021 0.012
Ni 12.154 1.897 1.113
Pt 6.143 0.959 0.563
```

Output
Calculated total energy: -27.12 eV per cell
Formation energy from the elements: 0.026 eV per atom
Calculated density: 12.10 g/cm3

***

Tb3Sn2Au | PBE | relaxed

The structure in extended XYZ format:
```
24
Lattice="4.560 0.000 0.000 0.000 11.728 0.000 0.000 0.000 12.248" Properties=species:S:1:pos:R:3 pbc="T T T"
Tb 1.140 4.403 0.603
Tb 3.420 7.326 11.645
Tb 3.420 10.267 5.521
Tb 1.140 1.461 6.727
Tb 1.140 8.152 2.720
Tb 3.420 3.577 9.528
Tb 3.420 2.288 3.404
Tb 1.140 9.441 8.844
Tb 1.140 5.138 4.560
Tb 3.420 6.590 7.688
Tb 3.420 11.002 1.564
Tb 1.140 0.726 10.684
Sn 1.140 8.095 6.078
Sn 3.420 3.633 6.170
Sn 3.420 2.231 0.046
Sn 1.140 9.498 12.202
Sn 1.140 11.571 3.849
Sn 3.420 0.157 8.399
Sn 3.420 5.707 2.275
Sn 1.140 6.021 9.973
Au 1.140 1.583 1.613
Au 3.420 10.145 10.635
Au 3.420 7.447 4.511
Au 1.140 4.281 7.737
```

Output
Calculated total energy: -118.48 eV per cell
Formation energy from the elements: -0.741 eV per atom
Calculated density: 9.24 g/cm3

***

AlTlFePd2 | PBE | relaxed

The structure in extended XYZ format:
```
5
Lattice="-1.300 3.607 3.255 -4.689 -1.164 -0.583 0.346 -3.292 3.787" Properties=species:S:1:pos:R:3 pbc="T T T"
Tl 0.000 0.000 0.000
Fe -2.344 -0.582 -0.291
Pd 0.173 -1.646 1.893
Pd -0.650 1.804 1.627
Al -2.821 -0.424 3.229
```

Output
Calculated total energy: -19.27 eV per cell
Formation energy from the elements: 1.137 eV per atom
Calculated density: 6.75 g/cm3

***

SrLa4Cu | PBE | relaxed

The structure in extended XYZ format:
```
6
Lattice="0.000 4.757 4.757 4.757 0.000 4.757 4.757 4.757 0.000" Properties=species:S:1:pos:R:3 pbc="T T T"
Sr 7.135 7.135 7.135
La 3.531 5.982 5.982
La 5.982 5.982 3.531
La 5.982 3.531 5.982
La 3.531 3.531 3.531
Cu 0.000 0.000 0.000
```

Output
Calculated total energy: -22.57 eV per cell
Formation energy from the elements: 0.487 eV per atom
Calculated density: 5.45 g/cm3

***

Number 1: DOS at the Fermi energy 2.6 states/eV per cell. Number 2: DOS at the Fermi energy 9.0 states/eV per cell. Number 3: DOS at the Fermi energy 11.2 states/eV per cell. Number 4: DOS at the Fermi energy 6.5 states/eV per cell. Number 5: DOS at the Fermi energy 5.7 states/eV per cell. Number 6: DOS at the Fermi energy 3.5 states/eV per cell. Number 7: DOS at the Fermi energy 6.7 states/eV per cell. Number 8: DOS at the Fermi energy 2.0 states/eV per cell. Number 9: DOS at the Fermi energy 5.8 states/eV per cell. Number 10: DOS at the Fermi energy 3.5 states/eV per cell. Number 11: DOS at the Fermi energy 1.7 states/eV per cell. Number 12: DOS at the Fermi energy 5.0 states/eV per cell. Number 13: DOS at the Fermi energy 25.6 states/eV per cell. Number 14: DOS at the Fermi energy 2.2 states/eV per cell. Number 15: DOS at the Fermi energy 9.1 states/eV per cell. Number 16: DOS at the Fermi energy 17.0 states/eV per cell. Number 17: DOS at the Fermi energy 6.5 states/eV per cell. Number 18: DOS at the Fermi energy 19.0 states/eV per cell. Number 19: DOS at the Fermi energy 5.5 states/eV per cell. Number 20: DOS at the Fermi energy 9.5 states/eV per cell.